## LiTbTmCo (PBE)

Data for a relaxed LiTbTmCo crystal.

Computed properties:
ρ ... 8.19 Mg/m³
Formation enthalpy at 0 K ... -0.090 eV/atom
Total moment ... 0.000 μB per cell
VASP energy ... -4.620 eV/atom

Lattice parameters (Å, degrees): 6.835 6.835 6.835 90.00 90.00 90.00
Space group F-43m (No. 216)
Asymmetric unit:
Li 0.000 0.000 0.000 x4
Tb 0.250 0.250 0.750 x4
Tm 0.250 0.250 0.250 x4
Co 0.000 0.000 0.500 x4